Model one:
The following is a DFT calculation (PBE) of crystalline CsCdAu3 at its relaxed geometry.

SG: Pm-3m, No. 221

Lattice parameters (Å, degrees): 5.422 5.422 5.422 90.00 90.00 90.00
Sites, in units of the cell vectors:
Cs 0.500 0.500 0.500
Au 0.000 0.500 0.000
Au 0.000 0.000 0.500
Au 0.500 0.000 0.000
Cd 0.000 0.000 0.000

Model two:
The following is a DFT calculation (PBE) of crystalline CsCdAu3 at its relaxed geometry.

SG: P2_1/c, No. 14

Lattice parameters (Å, degrees): 6.851 9.737 9.260 109.56 90.00 90.00
Sites, in units of the cell vectors:
Cs 0.988 0.633 0.209
Cs 0.012 0.367 0.791
Cs 0.488 0.367 0.291
Cs 0.512 0.633 0.709
Cd 0.202 0.910 0.593
Cd 0.798 0.090 0.407
Cd 0.702 0.090 0.907
Cd 0.298 0.910 0.093
Au 0.209 0.105 0.413
Au 0.791 0.895 0.587
Au 0.709 0.895 0.087
Au 0.291 0.105 0.913
Au 0.496 0.875 0.359
Au 0.504 0.125 0.641
Au 0.996 0.125 0.141
Au 0.004 0.875 0.859
Au 0.003 0.640 0.586
Au 0.997 0.360 0.414
Au 0.503 0.360 0.914
Au 0.497 0.640 0.086

Going by the energies, model two is most stable and the next is 19.9 kJ/mol of atoms up.